Record 1
# Tb3PmTc

A relaxed Tb3PmTc crystal (PBE, Alexandria).

Cell: 5.4068 5.4068 5.4068 Å, 90.00 90.00 90.00°
Sites, in units of the cell vectors:
Tb  0.0000  0.0000  0.5000
Tb  0.0000  0.5000  0.0000
Tb  0.5000  0.0000  0.0000
Pm  0.5000  0.5000  0.5000
Tc  0.0000  0.0000  0.0000

E_form = 0.139 eV per atom
Total magnetic moment = 0.5 μB/f.u.
E_tot = -5.66 eV/atom

Record 2
# Tb2PmTc

A relaxed Tb2PmTc crystal (PBE, Alexandria).

Cell: 6.3816 6.3816 9.2673 Å, 90.00 90.00 143.96°
Sites, in units of the cell vectors:
Tb  0.1464  0.8536  0.5683
Tb  0.1464  0.8536  0.9317
Tb  0.8536  0.1464  0.0683
Tb  0.8536  0.1464  0.4317
Pm  0.4271  0.5729  0.7500
Pm  0.5729  0.4271  0.2500
Tc  0.2391  0.7609  0.2500
Tc  0.7609  0.2391  0.7500

E_form = -0.058 eV per atom
Total magnetic moment = 0.0 μB/f.u.
E_tot = -6.15 eV/atom

Record 3
# Tb8Pm2Tc

A relaxed Tb8Pm2Tc crystal (PBE, Alexandria).

Cell: 9.6192 9.6192 6.6253 Å, 91.60 91.60 33.33°
Sites, in units of the cell vectors:
Tb  0.0349  0.0349  0.2634
Tb  0.1594  0.1594  0.6682
Tb  0.3561  0.3561  0.6229
Tb  0.4218  0.4218  0.1257
Tb  0.5782  0.5782  0.8743
Tb  0.6439  0.6439  0.3771
Tb  0.8406  0.8406  0.3318
Tb  0.9651  0.9651  0.7366
Pm  0.2307  0.2307  0.1680
Pm  0.7693  0.7693  0.8320
Tc  0.5000  0.5000  0.5000

E_form = 0.031 eV per atom
Total magnetic moment = 0.0 μB/f.u.
E_tot = -5.14 eV/atom

Record 4
# Tb2PmTc

A relaxed Tb2PmTc crystal (PBE, Alexandria).

Cell: 7.4774 9.2763 6.3721 Å, 90.00 90.00 90.00°
Sites, in units of the cell vectors:
Tb  0.1761  0.0646  0.1608
Tb  0.1761  0.4354  0.1608
Tb  0.3239  0.5646  0.6608
Tb  0.3239  0.9354  0.6608
Tb  0.6761  0.0646  0.3392
Tb  0.6761  0.4354  0.3392
Tb  0.8239  0.5646  0.8392
Tb  0.8239  0.9354  0.8392
Pm  0.0438  0.2500  0.6282
Pm  0.4562  0.7500  0.1282
Pm  0.5438  0.2500  0.8718
Pm  0.9562  0.7500  0.3718
Tc  0.1135  0.7500  0.9575
Tc  0.3865  0.2500  0.4575
Tc  0.6135  0.7500  0.5425
Tc  0.8865  0.2500  0.0425

E_form = -0.058 eV per atom
Total magnetic moment = 0.0 μB/f.u.
E_tot = -6.15 eV/atom

Record 5
# Tb4PmTc

A relaxed Tb4PmTc crystal (PBE, Alexandria).

Cell: 7.9444 7.9444 6.2469 Å, 100.41 100.41 107.40°
Sites, in units of the cell vectors:
Tb  0.0639  0.7301  0.9493
Tb  0.1681  0.3546  0.6255
Tb  0.2699  0.9361  0.5507
Tb  0.3546  0.1681  0.1255
Tb  0.6454  0.8319  0.8745
Tb  0.7301  0.0639  0.4493
Tb  0.8319  0.6454  0.3745
Tb  0.9361  0.2699  0.0507
Pm  0.3916  0.6084  0.2500
Pm  0.6084  0.3916  0.7500
Tc  0.0034  0.9966  0.7500
Tc  0.9966  0.0034  0.2500

E_form = 0.013 eV per atom
Total magnetic moment = 0.0 μB/f.u.
E_tot = -5.59 eV/atom

Record 6
# TbPm3Tc

A relaxed TbPm3Tc crystal (PBE, Alexandria).

Cell: 6.4639 6.4639 13.1647 Å, 111.26 111.26 35.81°
Sites, in units of the cell vectors:
Tb  0.0000  0.0000  0.0000
Tb  0.1181  0.1181  0.2736
Pm  0.3121  0.3121  0.7642
Pm  0.3377  0.3377  0.1329
Pm  0.6477  0.6477  0.5201
Pm  0.6657  0.6657  0.8946
Pm  0.8723  0.8723  0.3786
Pm  0.9800  0.9800  0.6579
Tc  0.3095  0.3095  0.5160
Tc  0.6705  0.6705  0.1310

E_form = 0.003 eV per atom
Total magnetic moment = 0.0 μB/f.u.
E_tot = -5.85 eV/atom